Sr3Cr5O12 PBE with a Hubbard U relaxed; total DFT energy (no corrections) = -144.48 eV per formula unit; space group = Ia-3d, No. 230
1.0
-6.401 6.401 6.401
6.401 -6.401 6.401
6.401 6.401 -6.401
Sr Cr O
12 20 48
Direct
0.125 0.250 0.375
0.125 0.375 0.750
0.250 0.375 0.125
0.250 0.875 0.625
0.375 0.125 0.250
0.375 0.750 0.125
0.625 0.250 0.875
0.625 0.875 0.750
0.750 0.125 0.375
0.750 0.625 0.875
0.875 0.625 0.250
0.875 0.750 0.625
0.000 0.000 0.000
0.000 0.000 0.500
0.000 0.500 0.000
0.000 0.500 0.500
0.125 0.750 0.875
0.125 0.875 0.250
0.250 0.125 0.875
0.250 0.625 0.375
0.375 0.250 0.625
0.375 0.625 0.750
0.500 0.000 0.000
0.500 0.000 0.500
0.500 0.500 0.000
0.500 0.500 0.500
0.625 0.375 0.250
0.625 0.750 0.375
0.750 0.375 0.625
0.750 0.875 0.125
0.875 0.125 0.750
0.875 0.250 0.125
0.010 0.195 0.114
0.010 0.315 0.897
0.082 0.695 0.685
0.082 0.886 0.397
0.103 0.614 0.418
0.103 0.990 0.685
0.114 0.010 0.195
0.114 0.603 0.918
0.185 0.195 0.582
0.185 0.490 0.603
0.195 0.114 0.010
0.195 0.582 0.185
0.305 0.315 0.918
0.305 0.490 0.386
0.315 0.897 0.010
0.315 0.918 0.305
0.386 0.305 0.490
0.386 0.582 0.897
0.397 0.082 0.886
0.397 0.815 0.510
0.418 0.103 0.614
0.418 0.815 0.805
0.490 0.386 0.305
0.490 0.603 0.185
0.510 0.397 0.815
0.510 0.614 0.695
0.582 0.185 0.195
0.582 0.897 0.386
0.603 0.185 0.490
0.603 0.918 0.114
0.614 0.418 0.103
0.614 0.695 0.510
0.685 0.082 0.695
0.685 0.103 0.990
0.695 0.510 0.614
0.695 0.685 0.082
0.805 0.418 0.815
0.805 0.886 0.990
0.815 0.510 0.397
0.815 0.805 0.418
0.886 0.397 0.082
0.886 0.990 0.805
0.897 0.010 0.315
0.897 0.386 0.582
0.918 0.114 0.603
0.918 0.305 0.315
0.990 0.685 0.103
0.990 0.805 0.886